Entry 1:
## Pr3HoEr7 (GGA-PBE)

Data for Pr3HoEr7 after structural relaxation.

Cell: 8.4211 8.4211 5.8372 Å, 110.22 110.22 83.30°
Sites, in units of the cell vectors:
Pr  0.0000  0.0000  0.0000
Pr  0.2141  0.7859  0.5000
Pr  0.7859  0.2141  0.5000
Ho  0.5000  0.5000  0.0000
Er  0.0105  0.4039  0.2071
Er  0.2069  0.2069  0.7064
Er  0.4039  0.0105  0.2071
Er  0.5000  0.5000  0.5000
Er  0.5961  0.9895  0.7929
Er  0.7931  0.7931  0.2936
Er  0.9895  0.5961  0.7929

As for the space group: C2/m. For the formation energy, the calculation gives 0.28 eV per atom. The calculation puts the excess energy over the best structure of this formula in the dataset at 1.73 eV/f.u. As for the calculated total energy: -4.34 eV per atom.

Entry 2:
## ZnIr2RhS (GGA-PBE)

Data for ZnIr2RhS after structural relaxation.

Cell: 4.3822 4.3822 4.3697 Å, 90.00 90.00 90.00°
Sites, in units of the cell vectors:
Zn  0.0000  0.0000  0.0000
Ir  0.0000  0.5000  0.5000
Ir  0.5000  0.0000  0.5000
Rh  0.5000  0.5000  0.0000
S  0.5000  0.5000  0.5000

As for the space group: P4/mmm. As for the calculated total energy: -5.60 eV per atom.

Entry 3:
## NaLi (GGA-PBE)

Data for NaLi after structural relaxation.

Cell: 3.8460 3.8460 3.8460 Å, 90.00 90.00 90.00°
Sites, in units of the cell vectors:
Na  0.0000  0.0000  0.0000
Li  0.5000  0.5000  0.5000

As for the space group: Pm-3m. For the formation energy, the calculation gives 0.07 eV per atom. The calculation puts the excess energy over the best structure of this formula in the dataset at 0.05 eV/f.u. As for the calculated total energy: -1.55 eV per atom.

Entry 4:
## Tb2Zn5Ni2Ag (GGA-PBE)

Data for Tb2Zn5Ni2Ag after structural relaxation.

Cell: 9.1630 9.1630 4.1192 Å, 90.00 90.00 90.00°
Sites, in units of the cell vectors:
Tb  0.1804  0.3196  0.0000
Tb  0.3196  0.8196  0.0000
Tb  0.6804  0.1804  0.0000
Tb  0.8196  0.6804  0.0000
Zn  0.0000  0.5000  0.5000
Zn  0.0601  0.7893  0.5000
Zn  0.2107  0.0601  0.5000
Zn  0.2893  0.5601  0.5000
Zn  0.4399  0.2893  0.5000
Zn  0.5000  0.0000  0.5000
Zn  0.5601  0.7107  0.5000
Zn  0.7107  0.4399  0.5000
Zn  0.7893  0.9399  0.5000
Zn  0.9399  0.2107  0.5000
Ni  0.1118  0.6118  0.0000
Ni  0.3882  0.1118  0.0000
Ni  0.6118  0.8882  0.0000
Ni  0.8882  0.3882  0.0000
Ag  0.0000  0.0000  0.0000
Ag  0.5000  0.5000  0.0000

As for the space group: P4/mbm. For the formation energy, the calculation gives -0.30 eV per atom. As for the calculated total energy: -3.30 eV per atom.

Entry 5:
## Mn2Si2Hg (GGA-PBE)

Data for Mn2Si2Hg after structural relaxation.

Cell: 7.1700 7.1700 2.6838 Å, 90.00 90.00 90.00°
Sites, in units of the cell vectors:
Mn  0.1496  0.3504  0.0000
Mn  0.3504  0.8504  0.0000
Mn  0.6496  0.1496  0.0000
Mn  0.8504  0.6496  0.0000
Si  0.1391  0.6391  0.5000
Si  0.3609  0.1391  0.5000
Si  0.6391  0.8609  0.5000
Si  0.8609  0.3609  0.5000
Hg  0.0000  0.0000  0.5000
Hg  0.5000  0.5000  0.5000

As for the space group: P4/mbm. The calculation puts the excess energy over the best structure of this formula in the dataset at 0.10 eV/f.u. As for the calculated total energy: -5.82 eV per atom.

Entry 6:
## Ti8SbH6 (GGA-PBE)

Data for Ti8SbH6 after structural relaxation.

Cell: 5.5698 5.5698 5.5698 Å, 95.12 95.12 95.12°
Sites, in units of the cell vectors:
Ti  0.0535  0.7343  0.3983
Ti  0.1701  0.1701  0.1701
Ti  0.2657  0.6017  0.9465
Ti  0.3983  0.0535  0.7343
Ti  0.6017  0.9465  0.2657
Ti  0.7343  0.3983  0.0535
Ti  0.8299  0.8299  0.8299
Ti  0.9465  0.2657  0.6017
Sb  0.5000  0.5000  0.5000
H  0.0279  0.3331  0.9294
H  0.0706  0.9721  0.6669
H  0.3331  0.9294  0.0279
H  0.6669  0.0706  0.9721
H  0.9294  0.0279  0.3331
H  0.9721  0.6669  0.0706

As for the space group: R-3. As for the calculated total energy: -6.14 eV per atom.

Entry 7:
## DyPuInGe (GGA-PBE)

Data for DyPuInGe after structural relaxation.

Cell: 5.1992 5.1992 5.1992 Å, 60.00 60.00 60.00°
Sites, in units of the cell vectors:
Dy  0.0000  0.0000  0.0000
Pu  0.5000  0.5000  0.5000
In  0.7500  0.7500  0.7500
Ge  0.2500  0.2500  0.2500

As for the space group: F-43m. For the formation energy, the calculation gives -0.33 eV per atom. As for the calculated total energy: -6.91 eV per atom.

Entry 8:
## Hf2Zn3Ni2 (GGA-PBE)

Data for Hf2Zn3Ni2 after structural relaxation.

Cell: 5.0295 5.0295 6.0496 Å, 102.27 102.27 46.89°
Sites, in units of the cell vectors:
Hf  0.1204  0.1204  0.3596
Hf  0.8796  0.8796  0.6404
Zn  0.2042  0.2042  0.8755
Zn  0.5000  0.5000  0.0000
Zn  0.7958  0.7958  0.1245
Ni  0.3969  0.3969  0.3394
Ni  0.6031  0.6031  0.6606

As for the space group: C2/m. For the formation energy, the calculation gives -0.32 eV per atom. As for the calculated total energy: -5.37 eV per atom.